KMgMn2 after structural relaxation. Source: Alexandria, functional PBE.

Cell and atoms, written as extended XYZ:
```
4
Lattice="3.155 0.000 0.000 0.000 5.437 0.000 0.000 0.000 5.355" Properties=species:S:1:pos:R:3 pbc="T T T"
K 1.577 0.000 2.678
Mn 1.577 2.719 0.000
Mn 0.000 0.000 0.000
Mg 0.000 2.719 2.678
```

Properties
ΔE_f ... 0.965 eV/atom
SG ... Pmmm